(1)
A geometry-optimized CsCaAcF6 structure. Source: Alexandria via LeMat-Bulk, functional PBE-GGA.

The structure in POSCAR format:
```
CsCaAcF6
1.0
8.408 0.000 0.000
0.000 7.910 0.000
-4.204 -3.955 5.682
F Cs Ca Ac
12 2 2 2
direct
0.168 0.850 0.731
0.400 0.150 0.801
0.168 0.381 0.731
0.137 0.887 0.274
0.600 0.850 0.199
0.832 0.619 0.269
0.563 0.850 0.731
0.437 0.619 0.269
0.437 0.150 0.269
0.563 0.381 0.731
0.832 0.150 0.269
0.863 0.113 0.726
0.153 0.403 0.305
0.847 0.597 0.695
0.500 0.000 0.000
0.500 0.500 0.000
0.500 0.000 0.500
0.000 0.000 0.500
```

Values from the calculation:
The raw formation energy is -33.65 eV per formula unit. Its space group is Imma, No. 74.

(2)
A geometry-optimized CsCaAcI6 structure. Source: Alexandria via LeMat-Bulk, functional PBE-GGA.

The structure in POSCAR format:
```
CsCaAcI6
1.0
11.515 0.000 0.000
0.000 11.891 0.000
-5.757 -5.946 8.426
Ac I Cs Ca
2 12 2 2
direct
0.500 0.500 0.000
0.500 0.000 0.000
0.165 0.321 0.764
0.599 0.321 0.764
0.835 0.679 0.236
0.835 0.058 0.236
0.416 0.666 0.831
0.165 0.942 0.764
0.805 0.055 0.609
0.401 0.679 0.236
0.599 0.942 0.764
0.401 0.058 0.236
0.195 0.945 0.391
0.584 0.334 0.169
0.976 0.726 0.951
0.024 0.274 0.049
0.000 0.000 0.500
0.500 0.000 0.500
```

Values from the calculation:
The raw formation energy is -13.59 eV per formula unit. Its space group is Imma, No. 74.

(3)
A geometry-optimized CsCa2AcI8 structure. Source: Alexandria via LeMat-Bulk, functional PBE-GGA.

The structure in POSCAR format:
```
CsCa2AcI8
1.0
7.928 0.003 -0.002
0.066 7.547 -0.003
0.012 0.018 10.013
Ac I Ca Cs
1 8 2 1
direct
0.000 0.000 0.000
0.171 0.734 0.782
0.170 0.734 0.218
0.830 0.266 0.782
0.829 0.266 0.218
0.658 0.736 0.000
0.342 0.264 0.000
0.389 0.270 0.500
0.611 0.730 0.500
0.500 0.500 0.254
0.500 0.500 0.746
0.000 0.000 0.500
```

Values from the calculation:
The raw formation energy is -18.23 eV per formula unit. Its space group is P-1, No. 2.

(4)
A geometry-optimized Cs4CaAc3O8 structure. Source: Alexandria via LeMat-Bulk, functional PBE-GGA.

The structure in POSCAR format:
```
Cs4CaAc3O8
1.0
7.696 0.000 0.000
0.000 8.259 0.381
-3.848 -3.836 5.451
O Cs Ca Ac
8 4 1 3
direct
0.274 0.321 0.547
0.775 0.325 0.549
0.724 0.675 0.949
0.225 0.675 0.451
0.225 0.675 0.949
0.276 0.325 0.051
0.726 0.679 0.453
0.775 0.325 0.051
0.000 0.000 0.500
0.500 0.000 0.000
0.000 0.000 0.000
0.500 0.000 0.500
0.000 0.500 0.000
0.000 0.500 0.500
0.500 0.500 0.000
0.500 0.500 0.500
```

Values from the calculation:
The raw formation energy is -36.87 eV per formula unit. Its space group is R-3m, No. 166.

(5)
A geometry-optimized Cs3CaAc2Se6 structure. Source: Alexandria via LeMat-Bulk, functional PBE-GGA.

The structure in POSCAR format:
```
Cs3CaAc2Se6
1.0
-6.769 -3.838 1.530
6.953 -3.314 1.890
-0.399 6.000 6.445
Cs Ca Se Ac
3 1 6 2
direct
0.500 0.500 0.500
0.834 0.166 0.500
0.166 0.834 0.500
0.000 0.000 0.000
0.263 0.263 0.806
0.065 0.392 0.195
0.935 0.608 0.805
0.392 0.065 0.195
0.737 0.737 0.194
0.608 0.935 0.805
0.667 0.333 0.000
0.333 0.667 0.000
```

Values from the calculation:
The raw formation energy is -19.37 eV per formula unit. Its space group is C2/m, No. 12.

(6)
A geometry-optimized Ca3Ac3Cu4 structure. Source: Alexandria via LeMat-Bulk, functional PBE-GGA.

The structure in POSCAR format:
```
Ca3Ac3Cu4
1.0
4.249 0.000 0.000
0.000 8.275 -0.152
0.000 -0.079 8.276
Ac Ca Cu
3 3 4
direct
0.500 0.836 0.164
0.500 0.665 0.667
0.500 0.333 0.335
0.500 0.168 0.832
0.000 0.005 0.511
0.000 0.489 0.995
0.000 0.887 0.883
0.000 0.380 0.620
0.000 0.620 0.380
0.000 0.117 0.113
```

Values from the calculation:
The energy relative to the elements is -101 meV/atom. Its space group is Amm2, No. 38.

(7)
A geometry-optimized CaAcCu2 structure. Source: Alexandria via LeMat-Bulk, functional PBE-GGA.

The structure in POSCAR format:
```
CaAcCu2
1.0
-1.306 1.700 -3.599
-2.277 -3.674 -0.909
-3.882 1.303 4.460
Ca Cu Ac
1 2 1
direct
0.719 0.000 0.976
0.025 0.000 0.589
0.147 0.500 0.834
0.440 0.500 0.419
```

Values from the calculation:
The energy relative to the elements is -141 meV/atom. Its space group is Amm2, No. 38.

(8)
A geometry-optimized CaAcCu2 structure. Source: Alexandria via LeMat-Bulk, functional PBE-GGA.

The structure in POSCAR format:
```
CaAcCu2
1.0
5.216 0.000 0.000
2.608 4.518 0.000
2.608 1.506 4.259
Ca Ac Cu
1 1 2
direct
0.500 0.500 0.500
0.000 0.000 0.000
0.750 0.750 0.750
0.250 0.250 0.250
```

Values from the calculation:
The energy relative to the elements is -96 meV/atom. Its space group is Fm-3m, No. 225.

(9)
A geometry-optimized CaAcCu structure. Source: Alexandria via LeMat-Bulk, functional PBE-GGA.

The structure in POSCAR format:
```
CaAcCu
1.0
-2.378 0.491 2.854
-1.685 -3.238 -0.846
6.254 -1.890 3.076
Cu Ca Ac
1 1 1
direct
0.666 0.666 0.331
0.035 0.035 0.070
0.300 0.300 0.599
```

Values from the calculation:
The energy relative to the elements is -24 meV/atom. Its space group is I4mm, No. 107.

(10)
A geometry-optimized CaAc2Cu6 structure. Source: Alexandria via LeMat-Bulk, functional PBE-GGA.

The structure in POSCAR format:
```
CaAc2Cu6
1.0
-3.315 -2.078 -1.098
2.782 -6.156 3.255
-4.273 4.727 3.954
Ac Cu Ca
2 6 1
direct
0.000 0.333 0.667
0.000 0.667 0.333
0.500 0.670 0.670
0.500 0.670 0.000
0.500 0.000 0.330
0.500 0.330 0.000
0.500 0.330 0.330
0.500 0.000 0.670
0.000 0.000 0.000
```

Values from the calculation:
The energy relative to the elements is -170 meV/atom. Its space group is P6/mmm, No. 191.

(11)
A geometry-optimized CaAc2Cu3 structure. Source: Alexandria via LeMat-Bulk, functional PBE-GGA.

The structure in POSCAR format:
```
CaAc2Cu3
1.0
3.726 0.000 0.000
0.000 3.726 0.000
0.000 0.000 11.222
Ac Ca Cu
2 1 3
direct
0.500 0.500 0.827
0.500 0.500 0.173
0.500 0.500 0.500
0.000 0.000 0.341
0.000 0.000 0.000
0.000 0.000 0.659
```

Values from the calculation:
The energy relative to the elements is -70 meV/atom. Its space group is P4/mmm, No. 123.

(12)
A geometry-optimized CaAc2Cu9 structure. Source: Alexandria via LeMat-Bulk, functional PBE-GGA.

The structure in POSCAR format:
```
CaAc2Cu9
1.0
-2.151 2.644 4.088
-0.551 -2.393 4.722
7.014 2.893 5.284
Cu Ac Ca
9 2 1
direct
0.426 0.426 0.230
0.918 0.426 0.230
0.082 0.574 0.770
0.500 0.500 0.500
0.426 0.918 0.230
0.574 0.574 0.770
0.668 0.668 0.996
0.332 0.332 0.004
0.574 0.082 0.770
0.137 0.137 0.588
0.863 0.863 0.412
0.000 0.000 0.000
```

Values from the calculation:
The energy relative to the elements is -59 meV/atom. Its space group is R-3m, No. 166.

Number 1: M_tot 0.01 μB per atom, calculated volume 21.00 Å³/atom. Number 2: M_tot 0.00 μB per atom, calculated volume 64.10 Å³/atom. Number 3: M_tot 0.00 μB per atom, calculated volume 49.93 Å³/atom. Number 4: M_tot 0.07 μB per atom, calculated volume 22.36 Å³/atom. Number 5: M_tot 0.00 μB per atom, calculated volume 38.17 Å³/atom. Number 6: M_tot 0.00 μB per atom, calculated volume 29.10 Å³/atom. Number 7: M_tot 0.00 μB per atom, calculated volume 26.28 Å³/atom. Number 8: M_tot 0.00 μB per atom, calculated volume 25.09 Å³/atom. Number 9: M_tot 0.00 μB per atom, calculated volume 31.44 Å³/atom. Number 10: M_tot 0.00 μB per atom, calculated volume 21.99 Å³/atom. Number 11: M_tot 0.00 μB per atom, calculated volume 25.96 Å³/atom. Number 12: M_tot 0.00 μB per atom, calculated volume 17.83 Å³/atom.